Record 1
This record from Alexandria via LeMat-Bulk describes a relaxed structure of K2Tl2Br5. The functional is PBE-GGA.

Cell: 8.232 8.111 12.661 Å, 108.68 108.97 90.00°
Fractional positions:
K 0.122 0.631 0.222
K 0.878 0.408 0.778
K 0.600 0.131 0.222
K 0.400 0.908 0.778
Tl 0.000 0.973 0.000
Tl 0.500 0.473 0.000
Tl 0.213 0.307 0.500
Tl 0.787 0.807 0.500
Br 0.234 0.704 0.941
Br 0.766 0.763 0.059
Br 0.207 0.204 0.941
Br 0.793 0.263 0.059
Br 0.230 0.053 0.253
Br 0.770 0.800 0.747
Br 0.522 0.553 0.253
Br 0.478 0.300 0.747
Br 0.153 0.698 0.500
Br 0.847 0.198 0.500

Output
For the density of states at the Fermi level, the calculation gives 0.2480 states/eV per atom. As for the formation energy without anion corrections: -1.130 eV/atom. As for the space group: Ima2 (46).

Record 2
This record from Alexandria via LeMat-Bulk describes a relaxed structure of KTl2Br4. The functional is PBE-GGA.

Cell: 4.716 8.192 8.151 Å, 109.25 90.00 90.00°
Fractional positions:
K 0.000 0.000 0.000
Tl 0.000 0.500 0.500
Tl 0.500 0.000 0.500
Br 0.500 0.225 0.268
Br 0.500 0.775 0.732
Br 0.000 0.203 0.705
Br 0.000 0.797 0.295

Output
For the density of states at the Fermi level, the calculation gives 0.5462 states/eV per atom. As for the formation energy without anion corrections: -0.964 eV/atom. As for the space group: P2/m (10). The energy above the lowest structure with this stoichiometry comes out at 0.0 kJ per mole of atoms.

Record 3
This record from Alexandria via LeMat-Bulk describes a relaxed structure of KTlBr3. The functional is PBE-GGA.

Cell: 4.780 9.695 9.380 Å, 61.62 90.02 94.67°
Fractional positions:
K 0.890 0.208 0.647
K 0.526 0.715 0.161
Tl 0.686 0.628 0.704
Tl 0.905 0.207 0.182
Br 0.433 0.339 0.844
Br 0.992 0.608 0.954
Br 0.398 0.308 0.364
Br 0.533 0.914 0.564
Br 0.068 0.984 0.019
Br 0.992 0.611 0.471

Output
As for the formation energy without anion corrections: -1.046 eV/atom. As for the space group: P1 (1).

Record 4
This record from Alexandria via LeMat-Bulk describes a relaxed structure of K3Tl2Br5. The functional is PBE-GGA.

Cell: 4.563 8.813 10.182 Å, 80.02 77.05 75.00°
Fractional positions:
K 0.500 0.500 0.500
K 0.112 0.649 0.127
K 0.888 0.351 0.873
Tl 0.328 0.073 0.271
Tl 0.672 0.927 0.729
Br 0.000 0.000 0.000
Br 0.104 0.210 0.582
Br 0.896 0.790 0.418
Br 0.707 0.387 0.199
Br 0.293 0.613 0.801

Output
For the density of states at the Fermi level, the calculation gives 0.0000 states/eV per atom. As for the formation energy without anion corrections: -1.341 eV/atom. As for the space group: C2/m (12).

Record 5
This record from Alexandria via LeMat-Bulk describes a relaxed structure of KTl2Br8. The functional is PBE-GGA.

Cell: 7.239 10.516 9.575 Å, 123.31 115.12 90.00°
Fractional positions:
K 0.000 0.000 0.000
Tl 0.204 0.785 0.570
Tl 0.796 0.215 0.430
Br 0.817 0.922 0.225
Br 0.183 0.697 0.775
Br 0.552 0.776 0.551
Br 0.448 0.224 0.449
Br 0.817 0.303 0.225
Br 0.183 0.078 0.775
Br 0.870 0.607 0.215
Br 0.130 0.393 0.785

Output
For the density of states at the Fermi level, the calculation gives 0.5244 states/eV per atom. As for the formation energy without anion corrections: -0.594 eV/atom. As for the space group: C2/m (12). The energy above the lowest structure with this stoichiometry comes out at 0.0 kJ per mole of atoms.

Record 6
This record from Alexandria via LeMat-Bulk describes a relaxed structure of K2TlBr. The functional is PBE-GGA.

Cell: 9.371 9.371 7.731 Å, 52.69 52.69 90.00°
Fractional positions:
Tl 0.000 0.000 0.000
Tl 0.750 0.250 0.500
K 0.578 0.125 0.250
K 0.172 0.625 0.250
K 0.375 0.422 0.750
K 0.875 0.828 0.750
Br 0.500 0.500 0.000
Br 0.250 0.750 0.500

Output
For the density of states at the Fermi level, the calculation gives 0.0685 states/eV per atom. As for the formation energy without anion corrections: -0.637 eV/atom. As for the space group: I-42d (122). The energy above the lowest structure with this stoichiometry comes out at 16.0 kJ per mole of atoms.

Number 1: size of the total moment 0.00 μB per cell. Number 2: size of the total moment 0.00 μB per cell. Number 3: size of the total moment 0.00 μB per cell. Number 4: size of the total moment 0.00 μB per cell. Number 5: size of the total moment 0.00 μB per cell. Number 6: size of the total moment 0.00 μB per cell.